# PBE PmZrAl2, optimized geometry
data_PmZrAl2
_space_group_name_H-M_alt 'P 4/m m m'
_space_group_IT_number 123
_space_group_name_Hall '-P 4 2'
_cell_length_a 3.659
_cell_length_b 3.659
_cell_length_c 6.660
_cell_angle_alpha 90.00
_cell_angle_beta 90.00
_cell_angle_gamma 90.00
loop_
_atom_site_label
_atom_site_type_symbol
_atom_site_fract_x
_atom_site_fract_y
_atom_site_fract_z
Pm1 Pm 0.000 0.000 0.000
Zr1 Zr 0.000 0.000 0.500
Al1 Al 0.500 0.500 0.292
# energy	-5.537	eV per atom
# energy of formation from the pure elements	-0.341	eV/atom
# total magnetization	0.03	μB/atom
# calculated density	5.4	g/cm³

***

# PBE LaTbAs2, optimized geometry
data_LaTbAs2
_space_group_name_H-M_alt 'R 3 m'
_space_group_IT_number 160
_space_group_name_Hall 'R 3 -2"'
_cell_length_a 4.2142
_cell_length_b 4.2142
_cell_length_c 21.7501
_cell_angle_alpha 90.00
_cell_angle_beta 90.00
_cell_angle_gamma 120.00
loop_
_atom_site_label
_atom_site_type_symbol
_atom_site_fract_x
_atom_site_fract_y
_atom_site_fract_z
La1 La 0.0000 0.0000 0.0000
Tb1 Tb 0.0000 0.0000 0.1712
As1 As 0.0000 0.0000 0.4224
As2 As 0.0000 0.0000 0.5835
# energy	-6.101	eV per atom
# energy of formation from the pure elements	-1.387	eV/atom
# total magnetization	0.00	μB/atom
# calculated density	6.7	g/cm³

***

# PBE HfMnCuSn, optimized geometry
data_HfMnCuSn
_space_group_name_H-M_alt 'F -4 3 m'
_space_group_IT_number 216
_space_group_name_Hall 'F -4 2 3'
_cell_length_a 6.408
_cell_length_b 6.408
_cell_length_c 6.408
_cell_angle_alpha 90.00
_cell_angle_beta 90.00
_cell_angle_gamma 90.00
loop_
_atom_site_label
_atom_site_type_symbol
_atom_site_fract_x
_atom_site_fract_y
_atom_site_fract_z
Hf1 Hf 0.000 0.000 0.000
Mn1 Mn 0.250 0.250 0.750
Cu1 Cu 0.250 0.250 0.250
Sn1 Sn 0.000 0.000 0.500
# energy	-6.820	eV per atom
# energy of formation from the pure elements	-0.015	eV/atom
# total magnetization	0.46	μB/atom
# calculated density	10.5	g/cm³

***

# PBE ReOs2Pt, optimized geometry
data_ReOs2Pt
_space_group_name_H-M_alt 'I -4 m 2'
_space_group_IT_number 119
_space_group_name_Hall 'I -4 -2'
_cell_length_a 3.877
_cell_length_b 3.877
_cell_length_c 7.820
_cell_angle_alpha 90.00
_cell_angle_beta 90.00
_cell_angle_gamma 90.00
loop_
_atom_site_label
_atom_site_type_symbol
_atom_site_fract_x
_atom_site_fract_y
_atom_site_fract_z
Re1 Re 0.000 0.000 0.000
Os1 Os 0.000 0.000 0.500
Os2 Os 0.000 0.500 0.750
Pt1 Pt 0.000 0.500 0.250
# energy	-10.144	eV per atom
# energy of formation from the pure elements	0.093	eV/atom
# total magnetization	0.00	μB/atom
# calculated density	21.5	g/cm³

***

# PBE SmMgInSn, optimized geometry
data_SmMgInSn
_space_group_name_H-M_alt 'F -4 3 m'
_space_group_IT_number 216
_space_group_name_Hall 'F -4 2 3'
_cell_length_a 7.485
_cell_length_b 7.485
_cell_length_c 7.485
_cell_angle_alpha 90.00
_cell_angle_beta 90.00
_cell_angle_gamma 90.00
loop_
_atom_site_label
_atom_site_type_symbol
_atom_site_fract_x
_atom_site_fract_y
_atom_site_fract_z
Sm1 Sm 0.000 0.000 0.000
Mg1 Mg 0.000 0.000 0.500
In1 In 0.250 0.250 0.250
Sn1 Sn 0.250 0.250 0.750
# energy	-3.558	eV per atom
# energy of formation from the pure elements	-0.294	eV/atom
# total magnetization	0.00	μB/atom
# calculated density	6.5	g/cm³

***

# PBE Cs2ScTaH, optimized geometry
data_Cs2ScTaH
_space_group_name_H-M_alt 'P 4/m m m'
_space_group_IT_number 123
_space_group_name_Hall '-P 4 2'
_cell_length_a 6.647
_cell_length_b 6.647
_cell_length_c 5.023
_cell_angle_alpha 90.00
_cell_angle_beta 90.00
_cell_angle_gamma 90.00
loop_
_atom_site_label
_atom_site_type_symbol
_atom_site_fract_x
_atom_site_fract_y
_atom_site_fract_z
Cs1 Cs 0.000 0.500 0.000
Sc1 Sc 0.000 0.000 0.500
Ta1 Ta 0.000 0.000 0.000
H1 H 0.500 0.500 0.500
# energy	-3.177	eV per atom
# total magnetization	0.39	μB/atom
# calculated density	3.7	g/cm³

***

# PBE Ce3Ga8Pd3, optimized geometry
data_Ce3Ga8Pd3
_space_group_name_H-M_alt 'C 1 2/m 1'
_space_group_IT_number 12
_space_group_name_Hall '-C 2y'
_cell_length_a 15.913
_cell_length_b 4.545
_cell_length_c 8.870
_cell_angle_alpha 90.00
_cell_angle_beta 123.36
_cell_angle_gamma 90.00
loop_
_atom_site_label
_atom_site_type_symbol
_atom_site_fract_x
_atom_site_fract_y
_atom_site_fract_z
Ce1 Ce 0.000 0.000 0.000
Ce2 Ce 0.214 0.500 0.709
Ga1 Ga 0.003 0.500 0.671
Ga2 Ga 0.142 0.000 0.432
Ga3 Ga 0.151 0.000 0.862
Ga4 Ga 0.151 0.500 0.286
Pd1 Pd 0.000 0.000 0.500
Pd2 Pd 0.149 0.500 0.001
# energy	-4.776	eV per atom
# energy of formation from the pure elements	-0.662	eV/atom
# total magnetization	0.10	μB/atom
# calculated density	8.0	g/cm³

***

# PBE Rb2SrThO4, optimized geometry
data_Rb2SrThO4
_space_group_name_H-M_alt 'P 1 2/m 1'
_space_group_IT_number 10
_space_group_name_Hall '-P 2y'
_cell_length_a 6.471
_cell_length_b 3.750
_cell_length_c 6.949
_cell_angle_alpha 90.00
_cell_angle_beta 108.22
_cell_angle_gamma 90.00
loop_
_atom_site_label
_atom_site_type_symbol
_atom_site_fract_x
_atom_site_fract_y
_atom_site_fract_z
Rb1 Rb 0.000 0.000 0.000
Rb2 Rb 0.500 0.500 0.000
Sr1 Sr 0.000 0.500 0.500
Th1 Th 0.500 0.000 0.500
O1 O 0.259 0.000 0.680
O2 O 0.294 0.500 0.318
# energy	-6.443	eV per atom
# total magnetization	0.00	μB/atom
# calculated density	5.7	g/cm³
# ΔE_f (raw)	-2.58	eV/atom